--- a ---
First-principles (PBE-GGA) data for a relaxed MnNb3Cu crystal, as listed in Alexandria.

a = 4.5997 Å, b = 4.5997 Å, c = 4.5997 Å
α = 90.00°, β = 90.00°, γ = 90.00°
Space group Pm-3m (No. 221)
One atom of each set of equivalent atoms:
Mn: 0.0000 0.0000 0.0000 [1 per cell]
Nb: 0.0000 0.5000 0.5000 [3 per cell]
Cu: 0.5000 0.5000 0.5000 [1 per cell]

Summary:
crystal system	cubic

--- b ---
First-principles (PBE-GGA) data for a relaxed MnNb3Cu crystal, as listed in Alexandria.

a = 4.5671 Å, b = 4.5671 Å, c = 4.5671 Å
α = 90.00°, β = 90.00°, γ = 90.00°
Space group Pm-3m (No. 221)
One atom of each set of equivalent atoms:
Mn: 0.0000 0.0000 0.0000 [1 per cell]
Nb: 0.0000 0.0000 0.5000 [3 per cell]
Cu: 0.5000 0.5000 0.5000 [1 per cell]

Summary:
crystal system	cubic

Which structure loses on stability? a does.